(1)
Sr2AlSn4Au3, optimized geometry, DFT PBE-GGA; ΔE_f = -0.51 eV per atom; DOS at the Fermi energy = 0.3645 states/eV/atom; space group = P-4m2
1.0
4.6412 0.0000 0.0000
0.0000 4.6412 0.0000
0.0000 0.0000 11.9220
Sr Au Al Sn
2 3 1 4
direct
0.5000 0.0000 0.2531 Sr
0.0000 0.5000 0.7469 Sr
0.0000 0.0000 0.5000 Au
0.0000 0.5000 0.1409 Au
0.5000 0.0000 0.8591 Au
0.5000 0.5000 0.5000 Al
0.0000 0.5000 0.3669 Sn
0.5000 0.5000 0.0000 Sn
0.0000 0.0000 0.0000 Sn
0.5000 0.0000 0.6331 Sn

---

(2)
LaEr5Au4, optimized geometry, DFT PBE-GGA; ΔE_f = -0.70 eV per atom; DOS at the Fermi energy = 0.5720 states/eV/atom; space group = P4/mmm
1.0
-2.2746 2.7026 0.2951
-0.6332 -0.1525 -3.4843
-14.8181 -12.8268 3.2540
Au Er La
4 5 1
direct
0.0000 0.0000 0.5912 Au
0.0000 0.0000 0.2236 Au
0.0000 0.0000 0.4088 Au
0.0000 0.0000 0.7764 Au
0.5000 0.5000 0.8623 Er
0.5000 0.5000 0.5000 Er
0.5000 0.5000 0.6827 Er
0.5000 0.5000 0.1377 Er
0.5000 0.5000 0.3173 Er
0.0000 0.0000 0.0000 La

---

(3)
Ba2TlSe, optimized geometry, DFT PBE-GGA; E above lowest polymorph = 1.05 eV per formula unit; DOS at the Fermi energy = 0.6713 states/eV/atom; space group = I4/mmm; energy relative to the elements, uncorrected = -813 meV/atom
1.0
6.1369 0.0030 0.0000
1.1303 6.0319 0.0000
-3.6336 -3.0174 3.9184
Ba Tl Se
2 1 1
direct
0.0000 0.0000 0.0000 Ba
0.5000 0.5000 0.0000 Ba
0.7500 0.2500 0.5000 Tl
0.2500 0.7500 0.5000 Se

---

(4)
Ta2NiW, optimized geometry, DFT PBE-GGA; ΔE_f = -0.01 eV per atom; DOS at the Fermi energy = 0.8700 states/eV/atom; space group = Cmm2
1.0
-1.1126 2.4905 -0.3793
-1.9554 -1.3358 1.4059
3.4800 2.6796 7.3861
Ta Ni W
2 1 1
direct
0.5000 0.5000 0.2548 Ta
0.0000 0.0000 0.9769 Ta
0.5000 0.5000 0.7439 Ni
0.0000 0.0000 0.5243 W

---

(5)
PaMnTe, optimized geometry, DFT PBE-GGA; E above lowest polymorph = 0.00 eV per formula unit; DOS at the Fermi energy = 0.7339 states/eV/atom; space group = F-43m; energy relative to the elements, uncorrected = -240 meV/atom
1.0
4.4995 0.0000 0.0000
2.2497 3.8967 0.0000
2.2497 1.2989 3.6738
Te Pa Mn
1 1 1
direct
0.0000 0.0000 0.0000 Te
0.5000 0.5000 0.5000 Pa
0.2500 0.2500 0.2500 Mn

---

(6)
KSnO2F, optimized geometry, DFT PBE-GGA; DOS at the Fermi energy = 0.0824 states/eV/atom; space group = P4/mmm; energy relative to the elements, uncorrected = -1881 meV/atom
1.0
-2.4951 1.1358 -2.9765
-2.8475 -2.4906 1.4366
-1.5653 3.2651 2.5581
O Sn F K
2 1 1 1
direct
0.5000 0.0000 0.0000 O
0.0000 0.5000 0.0000 O
0.0000 0.0000 0.0000 Sn
0.0000 0.0000 0.5000 F
0.5000 0.5000 0.5000 K

---

(7)
Zr2NbSe2Cl4, optimized geometry, DFT PBE-GGA; DOS at the Fermi energy = 0.4517 states/eV/atom; space group = P3m1; energy relative to the elements, uncorrected = -1387 meV/atom
1.0
-0.3002 3.1477 1.3682
-0.0927 -2.7787 2.0347
21.7943 1.0335 2.4040
Cl Se Nb Zr
4 2 1 2
direct
0.6667 0.3333 0.0585 Cl
0.0000 0.0000 0.5748 Cl
0.0000 0.0000 0.7305 Cl
0.6667 0.3333 0.9028 Cl
0.6667 0.3333 0.4030 Se
0.6667 0.3333 0.2486 Se
0.0000 0.0000 0.3258 Nb
0.6667 0.3333 0.6524 Zr
0.0000 0.0000 0.9808 Zr

---

(8)
PuHfPb2, optimized geometry, DFT PBE-GGA; E above lowest polymorph = 0.00 eV per formula unit; ΔE_f = 0.03 eV per atom; DOS at the Fermi energy = 2.6728 states/eV/atom; space group = P4/mmm
1.0
-1.3765 -2.6659 -2.4866
-1.3999 -2.0676 2.9917
-5.8910 3.4129 -0.3978
Pb Pu Hf
2 1 1
direct
0.0000 0.0000 0.2292 Pb
0.0000 0.0000 0.7708 Pb
0.5000 0.5000 0.5000 Pu
0.5000 0.5000 0.0000 Hf

---

(9)
ScAg2Br, optimized geometry, DFT PBE-GGA; E above lowest polymorph = 0.00 eV per formula unit; DOS at the Fermi energy = 0.1399 states/eV/atom; space group = R3m; energy relative to the elements, uncorrected = -385 meV/atom
1.0
-1.7657 -6.1886 -6.4619
-3.4036 -7.6426 -3.6304
-5.0705 -5.1396 -5.5721
Ag Br Sc
2 1 1
direct
0.0072 0.0072 0.0072 Ag
0.2687 0.2687 0.2687 Ag
0.4792 0.4792 0.4792 Br
0.7449 0.7449 0.7449 Sc

---

(10)
LiFe2Mo, optimized geometry, DFT PBE-GGA; E above lowest polymorph = 0.33 eV per formula unit; ΔE_f = 0.30 eV per atom; DOS at the Fermi energy = 1.1055 states/eV/atom; space group = P2/m
1.0
-1.9883 -2.8486 2.2551
2.1904 -0.8063 0.9128
0.3354 2.9272 3.9933
Fe Li Mo
2 1 1
direct
0.0000 0.0071 0.0037 Fe
0.0000 0.4929 0.4963 Fe
0.5000 0.2500 0.2500 Li
0.5000 0.7500 0.7500 Mo

---

(11)
TmH4Ir, optimized geometry, DFT PBE-GGA; space group = I-4m2
1.0
4.2247 0.5706 -1.7193
-1.7331 3.8950 -1.7192
-0.3184 -0.5706 4.5500
H Ir Tm
4 1 1
direct
0.7464 0.2521 0.9991 H
0.7479 0.7470 0.4943 H
0.2527 0.2537 0.5057 H
0.2530 0.7473 0.0010 H
0.5000 0.5000 0.0000 Ir
0.7500 0.2500 0.5000 Tm

---

(12)
MnP2W, optimized geometry, DFT PBE-GGA; ΔE_f = 0.03 eV per atom; DOS at the Fermi energy = 0.5589 states/eV/atom; space group = P4mm
1.0
-1.5180 1.9553 1.3310
0.6325 -1.1884 2.4671
6.1742 4.4212 0.5467
P Mn W
2 1 1
direct
0.0000 0.0000 0.9136 P
0.5000 0.5000 0.2993 P
0.5000 0.5000 0.7588 Mn
0.0000 0.0000 0.5283 W

---

no.,E (eV per cell)
1,-38.039
2,-47.872
3,-12.949
4,-42.484
5,-22.527
6,-26.295
7,-54.003
8,-31.595
9,-15.248
10,-28.482
11,-29.421
12,-32.828